Entry from Alexandria via LeMat-Bulk: an optimized crystal structure of SmPa4O10 (GGA-PBE).

Summary:
Spin magnetization ... 0.18 μB per atom
Calculated density ... 9.99 g/cm³
Formation energy without anion corrections ... -3.6169 eV/atom

Geometry as POSCAR:
```
SmPa4O10
1.0
1.941 1.120 15.735
-1.941 1.120 15.735
0.000 -2.241 15.735
Sm Pa O
1 4 10
direct
0.000 0.000 0.000
0.200 0.200 0.200
0.399 0.399 0.399
0.601 0.601 0.601
0.800 0.800 0.800
0.053 0.053 0.053
0.150 0.150 0.150
0.249 0.249 0.249
0.353 0.353 0.353
0.450 0.450 0.450
0.550 0.550 0.550
0.647 0.647 0.647
0.751 0.751 0.751
0.850 0.850 0.850
0.947 0.947 0.947
```



Entry from Alexandria via LeMat-Bulk: an optimized crystal structure of SrY2Zr2 (GGA-PBE).

Summary:
DFT formation energy ... 44.31 kJ per mole of atoms
Spin magnetization ... 0.00 μB per atom
Calculated density ... 4.56 g/cm³

Geometry as POSCAR:
```
SrY2Zr2
1.0
-2.154 2.154 8.784
2.154 -2.154 8.784
2.154 2.154 -8.784
Sr Y Zr
1 2 2
direct
0.000 0.000 0.000
0.389 0.389 0.000
0.611 0.611 0.000
0.250 0.750 0.500
0.750 0.250 0.500
```



Entry from Alexandria via LeMat-Bulk: an optimized crystal structure of Dy2NbN (GGA-PBE).

Summary:
Spin magnetization ... 0.20 μB per atom
Calculated density ... 8.69 g/cm³
Formation energy without anion corrections ... -0.3073 eV/atom

Geometry as POSCAR:
```
Dy2NbN
1.0
1.645 0.950 8.803
-1.645 0.950 8.803
0.000 -1.900 8.803
Dy Nb N
2 1 1
direct
0.114 0.114 0.114
0.886 0.886 0.886
0.000 0.000 0.000
0.500 0.500 0.500
```



Entry from Alexandria via LeMat-Bulk: an optimized crystal structure of Pr8P3S4O (GGA-PBE).

Summary:
Spin magnetization ... 0.00 μB per atom
Calculated density ... 5.83 g/cm³
Formation energy without anion corrections ... -1.9122 eV/atom

Geometry as POSCAR:
```
Pr8P3S4O
1.0
4.079 2.355 6.745
-4.079 2.355 6.745
0.000 -4.710 6.745
Pr P S O
8 3 4 1
direct
0.248 0.248 0.248
0.256 0.739 0.739
0.261 0.261 0.744
0.261 0.744 0.261
0.739 0.256 0.739
0.739 0.739 0.256
0.744 0.261 0.261
0.752 0.752 0.752
0.000 0.000 0.500
0.000 0.500 0.000
0.500 0.000 0.000
0.000 0.000 0.000
0.000 0.500 0.500
0.500 0.000 0.500
0.500 0.500 0.000
0.500 0.500 0.500
```